Density functional theory data (PBE-GGA) for a relaxed structure of NaBi2SbOs.

abc: 5.504 5.504 5.103
angles: 90.00 90.00 90.00
Space group P4/mmm (No. 123)
Asymmetric unit:
Na  0.000  0.000  0.000
Bi  0.000  0.500  0.500
Sb  0.500  0.500  0.000
Os  0.500  0.500  0.500

V, Å³/cell: 155
Formation energy from raw total energies, eV per atom: 0.511
Theoretical density, g cm⁻³: 8.09